An optimized crystal structure of AcScSb2O8. Source: the Alexandria database, functional PBE.

a b c (Å): 6.290 6.290 6.290
angles (deg): 107.07 107.07 114.39
Element x y z (fractional)
Ac 0.000 0.000 0.000
Sc 0.750 0.250 0.500
Sb 0.250 0.750 0.500
Sb 0.500 0.500 0.000
O 0.047 0.373 0.326
O 0.047 0.722 0.674
O 0.124 0.322 0.802
O 0.278 0.953 0.326
O 0.520 0.322 0.198
O 0.627 0.953 0.674
O 0.678 0.480 0.802
O 0.678 0.876 0.198

N(E_F) (states/eV/f.u.): 0.0
Crystal system: tetragonal
Uncorrected formation energy (eV per formula unit): -25.00

An optimized crystal structure of AcCe2MgTl4. Source: the Alexandria database, functional PBE.

a b c (Å): 10.307 10.307 10.307
angles (deg): 30.07 30.07 30.07
Element x y z (fractional)
Ac 0.000 0.000 0.000
Ce 0.236 0.236 0.236
Ce 0.764 0.764 0.764
Mg 0.500 0.500 0.500
Tl 0.126 0.126 0.126
Tl 0.386 0.386 0.386
Tl 0.614 0.614 0.614
Tl 0.874 0.874 0.874

N(E_F) (states/eV/f.u.): 15.7
Crystal system: trigonal
Energy relative to the elements (eV per atom): -0.23

An optimized crystal structure of LiHg3C. Source: the Alexandria database, functional PBE.

a b c (Å): 5.224 5.224 5.224
angles (deg): 90.00 90.00 90.00
Element x y z (fractional)
Li 0.000 0.000 0.000
Hg 0.000 0.000 0.500
Hg 0.000 0.500 0.000
Hg 0.500 0.000 0.000
C 0.500 0.500 0.500

N(E_F) (states/eV/f.u.): 5.0
Crystal system: cubic
Offset from the most stable computed form (kJ/mol of formula units): 227.9
Energy relative to the elements (eV per atom): 1.33

An optimized crystal structure of Tm2Zr3UN6. Source: the Alexandria database, functional PBE.

a b c (Å): 5.763 5.763 5.760
angles (deg): 99.52 99.52 119.99
Element x y z (fractional)
Tm 0.167 0.833 0.000
Tm 0.833 0.167 0.000
Zr 0.000 0.000 0.500
Zr 0.329 0.671 0.500
Zr 0.671 0.329 0.500
U 0.500 0.500 0.000
N 0.090 0.416 0.748
N 0.260 0.260 0.252
N 0.416 0.090 0.748
N 0.584 0.910 0.252
N 0.740 0.740 0.748
N 0.910 0.584 0.252

N(E_F) (states/eV/f.u.): 4.5
Crystal system: monoclinic
Uncorrected formation energy (eV per formula unit): -20.58

An optimized crystal structure of TiAg3Bi3Se8. Source: the Alexandria database, functional PBE.

a b c (Å): 8.209 8.209 8.209
angles (deg): 60.13 60.13 60.13
Element x y z (fractional)
Ti 0.000 0.000 0.000
Ag 0.000 0.000 0.500
Ag 0.000 0.500 0.000
Ag 0.500 0.000 0.000
Bi 0.000 0.500 0.500
Bi 0.500 0.000 0.500
Bi 0.500 0.500 0.000
Se 0.221 0.774 0.774
Se 0.226 0.226 0.779
Se 0.226 0.779 0.226
Se 0.244 0.244 0.244
Se 0.756 0.756 0.756
Se 0.774 0.221 0.774
Se 0.774 0.774 0.221
Se 0.779 0.226 0.226

Crystal system: trigonal
Uncorrected formation energy (eV per formula unit): -6.10

An optimized crystal structure of Pm3DyHoTh. Source: the Alexandria database, functional PBE.

a b c (Å): 8.048 5.098 10.204
angles (deg): 90.00 108.76 90.00
Element x y z (fractional)
Pm 0.169 0.250 0.291
Pm 0.170 0.750 0.543
Pm 0.177 0.750 0.044
Pm 0.823 0.250 0.956
Pm 0.830 0.250 0.457
Pm 0.831 0.750 0.709
Dy 0.498 0.250 0.628
Dy 0.502 0.750 0.372
Ho 0.178 0.250 0.795
Ho 0.822 0.750 0.205
Th 0.499 0.750 0.878
Th 0.501 0.250 0.122

N(E_F) (states/eV/f.u.): 8.9
Crystal system: monoclinic
Energy relative to the elements (eV per atom): 0.03

An optimized crystal structure of LiTlPdPb2. Source: the Alexandria database, functional PBE.

a b c (Å): 5.338 5.338 4.904
angles (deg): 90.00 90.00 90.00
Element x y z (fractional)
Li 0.000 0.000 0.000
Tl 0.500 0.500 0.000
Pd 0.000 0.000 0.500
Pb 0.000 0.500 0.500
Pb 0.500 0.000 0.500

N(E_F) (states/eV/f.u.): 2.0
Crystal system: tetragonal
Energy relative to the elements (eV per atom): -0.08

An optimized crystal structure of Sc2Al2Pd. Source: the Alexandria database, functional PBE.

a b c (Å): 6.675 6.675 4.259
angles (deg): 90.00 90.00 90.00
Element x y z (fractional)
Sc 0.166 0.334 0.000
Sc 0.334 0.834 0.000
Sc 0.666 0.166 0.000
Sc 0.834 0.666 0.000
Al 0.138 0.638 0.500
Al 0.362 0.138 0.500
Al 0.638 0.862 0.500
Al 0.862 0.362 0.500
Pd 0.000 0.000 0.500
Pd 0.500 0.500 0.500

N(E_F) (states/eV/f.u.): 4.6
Crystal system: tetragonal
Energy relative to the elements (eV per atom): -0.61

An optimized crystal structure of BeTc2Se. Source: the Alexandria database, functional PBE.

a b c (Å): 4.300 4.300 4.300
angles (deg): 60.00 60.00 60.00
Element x y z (fractional)
Be 0.000 0.000 0.000
Tc 0.250 0.250 0.250
Tc 0.500 0.500 0.500
Se 0.750 0.750 0.750

N(E_F) (states/eV/f.u.): 3.9
Crystal system: cubic
Uncorrected formation energy (eV per formula unit): 1.60
Offset from the most stable computed form (kJ/mol of formula units): 167.1

An optimized crystal structure of BaAc2Gd. Source: the Alexandria database, functional PBE.

a b c (Å): 6.311 6.311 6.311
angles (deg): 60.00 60.00 60.00
Element x y z (fractional)
Ba 0.000 0.000 0.000
Ac 0.250 0.250 0.250
Ac 0.750 0.750 0.750
Gd 0.500 0.500 0.500

N(E_F) (states/eV/f.u.): 9.3
Crystal system: cubic
Offset from the most stable computed form (kJ/mol of formula units): 47.5
Energy relative to the elements (eV per atom): 0.19

An optimized crystal structure of CoPt2Pb. Source: the Alexandria database, functional PBE.

a b c (Å): 3.388 3.483 5.823
angles (deg): 90.00 90.00 90.00
Element x y z (fractional)
Co 0.000 0.000 0.000
Pt 0.500 0.500 0.224
Pt 0.500 0.500 0.776
Pb 0.000 0.000 0.500

N(E_F) (states/eV/f.u.): 5.5
Crystal system: orthorhombic
Energy relative to the elements (eV per atom): 0.14

An optimized crystal structure of NbZnPt. Source: the Alexandria database, functional PBE.

a b c (Å): 4.433 4.433 2.783
angles (deg): 90.00 90.00 120.00
Element x y z (fractional)
Nb 0.000 0.000 0.000
Zn 0.333 0.667 0.500
Pt 0.667 0.333 0.500

N(E_F) (states/eV/f.u.): 1.6
Crystal system: hexagonal
Energy relative to the elements (eV per atom): -0.49